A plane-wave DFT calculation with PBE+U was carried out for crystalline AcTl2Cr3F12 at its relaxed geometry.

Properties
- E_tot: -5.7904 eV/atom
- Calculated volume: 302 Å³ per cell
- Size of the total moment: 11.0 μB per formula unit
- SG: R-3m, No. 166

a b c (Å): 7.168 7.168 7.168
angles (deg): 67.46 67.46 67.46
Site moments in Bohr magnetons follow the coordinates.
Sites, in units of the cell vectors:
Ac  0.000  0.000  0.000  0.00
Tl  0.616  0.616  0.616  0.00
Tl  0.384  0.384  0.384  0.00
Cr  0.500  0.000  0.000  3.56
Cr  0.000  0.500  0.000  3.56
Cr  0.000  0.000  0.500  3.56
F  0.256  0.256  0.909  -0.01
F  0.865  0.865  0.411  0.00
F  0.411  0.865  0.865  0.00
F  0.909  0.256  0.256  -0.01
F  0.865  0.411  0.865  0.00
F  0.256  0.909  0.256  -0.01
F  0.744  0.744  0.091  -0.01
F  0.135  0.135  0.589  0.00
F  0.589  0.135  0.135  0.00
F  0.091  0.744  0.744  -0.01
F  0.135  0.589  0.135  0.00
F  0.744  0.091  0.744  -0.01